A plane-wave DFT calculation with GGA-PBE was carried out for crystalline Ho4Zn2H at its relaxed geometry.

Cell: 4.6261 4.6261 8.0458 Å, 73.29 73.29 90.00°
Fractional coordinates of all 7 atoms:
Ho 0.1839 0.1839 0.6322
Ho 0.5000 0.0000 0.0000
Zn 0.3745 0.3745 0.2509
Zn 0.6255 0.6255 0.7491
Ho 0.8161 0.8161 0.3678
Ho 0.0000 0.5000 0.0000
H 0.0000 0.0000 0.0000

Electronic total energy: -3.67 eV per atom
Crystal system: tetragonal
Calculated density: 8.4 g cm⁻³
Magnetization: 0.00 μB per formula unit